No. 1
{"formula": "PmBe2C2", "functional": "PBE", "state": "relaxed", "ef_ev_per_atom": 0.072, "volume_a3_per_atom": 11.29, "dos_ef_per_ev_atom": 0.359, "lattice": [[3.3617, 0.0000, 0.0000], [-1.6808, 2.9113, 0.0000], [0.0000, 0.0000, 5.7704]], "species": ["Pm", "Be", "Be", "C", "C"], "frac_coords": [[0.0000, 0.0000, 0.0000], [0.6667, 0.3333, 0.3922], [0.3333, 0.6667, 0.6078], [0.6667, 0.3333, 0.7059], [0.3333, 0.6667, 0.2941]]}



No. 2
{"formula": "H5OsPb", "functional": "PBE", "state": "relaxed", "volume_a3_per_atom": 9.85, "e_tot_ev_per_atom": -4.199, "dos_ef_per_ev_atom": 0.165, "lattice": [[3.4436, 0.0000, 1.5381], [1.3423, 4.1781, 1.6187], [-0.0033, -0.6545, 4.6314]], "species": ["H", "H", "H", "H", "H", "Os", "Pb"], "frac_coords": [[0.9490, 0.2614, 0.2614], [0.0274, 0.5000, 0.5000], [0.4717, 0.7386, 0.7386], [0.3670, 0.2383, 0.7617], [0.3670, 0.7617, 0.2383], [0.5329, 0.5000, 0.5000], [0.8155, 0.0000, 0.0000]]}



No. 3
{"formula": "HfTi2Sb", "functional": "PBE", "state": "relaxed", "volume_a3_per_atom": 19.02, "formation_energy_uncorrected_mev_per_atom": -306, "dos_ef_per_ev_atom": 1.328, "lattice": [[4.0123, 0.0000, 0.0000], [0.0000, 4.3551, 0.0000], [0.0000, 0.0000, 4.3551]], "species": ["Sb", "Hf", "Ti", "Ti"], "frac_coords": [[0.5000, 0.0000, 0.0000], [0.5000, 0.5000, 0.5000], [0.0000, 0.0000, 0.5000], [0.0000, 0.5000, 0.0000]]}



No. 4
{"formula": "CeCd10Hg2", "functional": "PBE", "state": "relaxed", "ef_ev_per_atom": -0.062, "volume_a3_per_atom": 23.36, "dos_ef_per_ev_atom": 0.771, "lattice": [[-1.0902, 2.8155, 5.2832], [-7.4531, 1.3896, 1.2258], [-1.1868, -4.8663, 5.8527]], "species": ["Ce", "Cd", "Cd", "Cd", "Cd", "Cd", "Cd", "Cd", "Cd", "Cd", "Cd", "Hg", "Hg"], "frac_coords": [[0.0000, 0.0000, 0.0000], [0.3524, 0.6494, 0.6458], [0.6476, 0.3506, 0.3542], [0.0018, 0.3506, 0.6458], [0.9982, 0.6494, 0.3542], [0.0000, 0.0000, 0.5000], [0.5000, 0.0000, 0.5000], [0.2870, 0.2124, 0.2136], [0.7130, 0.7876, 0.7864], [0.4994, 0.7876, 0.2136], [0.5006, 0.2124, 0.7864], [0.0000, 0.5000, 0.0000], [0.5000, 0.5000, 0.0000]]}



Number 1: M_tot 0.000 Bohr magnetons per cell. Number 2: M_tot 0.000 Bohr magnetons per cell. Number 3: M_tot 0.001 Bohr magnetons per cell. Number 4: M_tot 1.108 Bohr magnetons per cell.